VASP calculation (PBE) on crystalline HfPI2O at its relaxed geometry.

- uncorrected formation energy (eV per formula unit) = -2.7

Cell lengths 5.8860, 5.8860, 3.9866 Å; angles 90.00, 90.00, 90.00 degrees
Closest atoms and distances in Å follow each position.
Space group P4/mmm (No. 123)
Asymmetric unit:
Hf 0.0000 0.0000 0.0000  2 O 1.99
P 0.5000 0.5000 0.5000  8 I 3.55
I 0.0000 0.5000 0.0000  2 Hf 2.94
O 0.0000 0.0000 0.5000  2 Hf 1.99